(1)
VASP calculation (PBE-GGA) on a relaxed structure of Zn2CdAg9.

Structure (extended XYZ):
```
12
Lattice="4.221 0.000 0.000 0.000 4.221 0.000 0.000 0.000 11.831" Properties=species:S:1:pos:R:3 pbc="T T T"
Ag 0.000 2.111 2.072
Ag 2.111 2.111 3.997
Ag 2.111 2.111 7.834
Ag 2.111 2.111 0.000
Ag 0.000 2.111 9.759
Ag 2.111 0.000 2.072
Ag 2.111 0.000 5.915
Ag 2.111 0.000 9.759
Ag 0.000 2.111 5.915
Zn 0.000 0.000 7.841
Zn 0.000 0.000 3.990
Cd 0.000 0.000 0.000
```

Output
- energy relative to the elements (eV/atom) = -0.0129

(2)
VASP calculation (PBE-GGA) on a relaxed structure of SrLa2Be.

Structure (extended XYZ):
```
4
Lattice="-1.271 -1.738 3.058 0.110 -3.271 -1.810 9.209 -1.377 3.046" Properties=species:S:1:pos:R:3 pbc="T T T"
La 8.363 -1.250 2.766
La 5.451 -0.815 1.803
Be 6.326 -3.537 2.908
Sr 1.722 -2.848 1.385
```

Output
- energy relative to the elements (eV/atom) = 0.1538

(3)
VASP calculation (PBE-GGA) on a relaxed structure of CdBiPt3.

Structure (extended XYZ):
```
5
Lattice="4.952 0.000 0.000 0.000 4.952 0.000 0.000 0.000 4.952" Properties=species:S:1:pos:R:3 pbc="T T T"
Pt 0.000 0.000 2.476
Pt 2.476 0.000 0.000
Pt 0.000 2.476 0.000
Bi 2.476 2.476 2.476
Cd 0.000 0.000 0.000
```

Output
- excess energy over the best structure of this formula in the dataset (meV/atom) = 0.0
- energy relative to the elements (eV/atom) = 0.9002

(4)
VASP calculation (PBE-GGA) on a relaxed structure of PmZn6Ag6.

Structure (extended XYZ):
```
13
Lattice="5.216 0.000 0.000 2.608 6.593 -0.083 2.608 0.075 6.593" Properties=species:S:1:pos:R:3 pbc="T T T"
Ag 2.608 4.339 2.225
Ag 2.608 1.338 1.306
Ag 2.608 2.329 4.285
Ag 7.825 5.330 5.204
Ag 5.216 2.327 2.272
Ag 5.216 4.341 4.238
Zn 1.304 0.037 3.297
Zn 5.216 1.551 5.081
Zn 5.216 5.117 1.429
Zn 3.912 3.297 -0.042
Zn 1.304 3.297 -0.042
Zn 3.912 0.037 3.297
Pm 0.000 0.000 0.000
```

Output
- energy relative to the elements (eV/atom) = -0.1612

(5)
VASP calculation (PBE-GGA) on a relaxed structure of Sr2SI2.

Structure (extended XYZ):
```
10
Lattice="9.146 0.000 0.000 0.000 9.146 0.000 0.000 0.000 4.147" Properties=species:S:1:pos:R:3 pbc="T T T"
Sr 6.208 7.511 2.074
Sr 2.938 1.635 2.074
Sr 1.635 6.208 2.074
Sr 7.511 2.938 2.074
I 3.379 7.953 0.000
I 5.767 1.194 0.000
I 1.194 3.379 0.000
I 7.953 5.767 0.000
S 0.000 0.000 0.000
S 4.573 4.573 0.000
```

Output
- uncorrected formation energy (meV per atom) = -1070

(6)
VASP calculation (PBE-GGA) on a relaxed structure of BaCa2Cl.

Structure (extended XYZ):
```
4
Lattice="-3.459 -0.207 6.295 -2.981 -6.306 1.725 5.884 3.897 -1.351" Properties=species:S:1:pos:R:3 pbc="T T T"
Ca -6.118 -6.188 7.619
Ca -3.541 -3.582 4.410
Cl -0.397 0.217 4.477
Ba -0.159 -2.833 2.192
```

Output
- excess energy over the best structure of this formula in the dataset (meV/atom) = 55.7
- uncorrected formation energy (meV per atom) = -710

(7)
VASP calculation (PBE-GGA) on a relaxed structure of Sc2SiSe.

Structure (extended XYZ):
```
4
Lattice="-4.705 0.367 -1.536 1.712 -0.574 -4.623 -0.732 -3.202 -0.546" Properties=species:S:1:pos:R:3 pbc="T T T"
Sc 0.000 0.000 0.000
Sc -1.496 -0.104 -3.079
Si 0.490 -1.888 -2.584
Se -2.718 -1.418 -1.041
```

Output
- excess energy over the best structure of this formula in the dataset (meV/atom) = 397.1
- uncorrected formation energy (meV per atom) = -853

(8)
VASP calculation (PBE-GGA) on a relaxed structure of Ca2Cu3Ni.

Structure (extended XYZ):
```
12
Lattice="-2.957 -0.788 4.244 3.070 -3.836 -1.799 6.463 2.816 5.025" Properties=species:S:1:pos:R:3 pbc="T T T"
Ni 0.000 0.000 0.000
Ni 3.231 1.408 2.513
Cu 4.383 1.230 4.860
Cu 3.703 -2.635 0.443
Cu 2.192 -3.038 2.611
Cu 2.135 -0.675 1.362
Cu 2.873 0.827 7.028
Cu 4.441 -1.133 6.109
Ca 4.677 -1.245 3.027
Ca 7.139 -0.172 4.942
Ca -0.564 -1.637 2.529
Ca 1.899 -0.564 4.444
```

Output
- excess energy over the best structure of this formula in the dataset (meV/atom) = 0.0
- energy relative to the elements (eV/atom) = -0.1179